SmErAg2: relaxed, PBE.

Cell: 3.6163 3.6163 7.4692 Å, 90.00 90.00 90.00°
Space group P4/mmm (No. 123)
Unique sites:
Sm (0.0000, 0.0000, 0.0000)
Er (0.0000, 0.0000, 0.5000)
Ag (0.5000, 0.5000, 0.2670)

Properties
As for the energy: -16.2 eV/f.u. For the energy of formation, the calculation gives -0.31 eV per atom.


SmEr4Ag2: relaxed, PBE.

Cell: 4.9311 4.9311 30.5912 Å, 90.00 90.00 120.00°
Space group R-3m (No. 166, hexagonal axes)
Unique sites:
Sm (0.0000, 0.0000, 0.0000)
Er (0.0000, 0.0000, 0.2013)
Er (0.0000, 0.0000, 0.3981)
Ag (0.0000, 0.0000, 0.1020)

Properties
As for the energy: -27.5 eV/f.u. For the energy of formation, the calculation gives 0.16 eV per atom.


Sm2ErAg5: relaxed, PBE.

Cell: 5.0991 5.0991 14.2511 Å, 90.00 90.00 90.00°
Space group I4/mmm (No. 139)
Unique sites:
Sm (0.0000, 0.0000, 0.2321)
Er (0.0000, 0.0000, 0.5000)
Ag (0.0000, 0.0000, 0.0000)
Ag (0.0000, 0.5000, 0.1142)

Properties
As for the energy: -30.0 eV/f.u. For the energy of formation, the calculation gives -0.22 eV per atom.


SmEr3Ag4: relaxed, PBE.

Cell: 3.5979 5.1657 10.3184 Å, 90.00 90.00 90.00°
Space group Pmmm (No. 47)
Unique sites:
Sm (0.0000, 0.0000, 0.0000)
Er (0.0000, 0.0000, 0.5000)
Er (0.0000, 0.5000, 0.2520)
Ag (0.5000, 0.0000, 0.2578)
Ag (0.5000, 0.5000, 0.0000)
Ag (0.5000, 0.5000, 0.5000)

Properties
As for the energy: -32.3 eV/f.u. For the energy of formation, the calculation gives -0.32 eV per atom.